[1]
The following is a DFT calculation (PBE-GGA) of a geometry-optimized LaTcBr structure.

Results
* E_tot: -17.09 eV per cell
* E above lowest polymorph: 0.8938 eV/atom
* size of the total moment: 0.0 μB/f.u.
* formation energy (no corrections): -0.0425 eV per atom

CIF file:
```
data_LaTcBr
_symmetry_space_group_name_H-M 'P 1'
_symmetry_Int_Tables_number 1
_cell_length_a 4.5751
_cell_length_b 4.5751
_cell_length_c 3.6100
_cell_angle_alpha 90.00
_cell_angle_beta 90.00
_cell_angle_gamma 120.00
loop_
_symmetry_equiv_pos_as_xyz
'x,y,z'
loop_
_atom_site_label
_atom_site_type_symbol
_atom_site_fract_x
_atom_site_fract_y
_atom_site_fract_z
Tc1 Tc 0.6667 0.3333 0.8334
Br1 Br 0.0000 0.0000 0.8333
La1 La 0.3333 0.6667 0.3333
```

=====

[2]
The following is a DFT calculation (PBE-GGA) of a geometry-optimized LaThTcBr structure.

Results
* E_tot: -26.74 eV per cell
* size of the total moment: 0.0 μB/f.u.
* formation energy (no corrections): -0.5878 eV per atom

CIF file:
```
data_LaThTcBr
_symmetry_space_group_name_H-M 'P 1'
_symmetry_Int_Tables_number 1
_cell_length_a 4.1509
_cell_length_b 4.1511
_cell_length_c 8.3059
_cell_angle_alpha 90.02
_cell_angle_beta 104.48
_cell_angle_gamma 119.95
loop_
_symmetry_equiv_pos_as_xyz
'x,y,z'
loop_
_atom_site_label
_atom_site_type_symbol
_atom_site_fract_x
_atom_site_fract_y
_atom_site_fract_z
La1 La 0.5029 0.1498 0.6678
Th1 Th 0.0901 0.9437 0.0492
Tc1 Tc 0.3177 0.5552 0.8887
Br1 Br 0.9672 0.3821 0.3639
```

=====

[3]
The following is a DFT calculation (PBE-GGA) of a geometry-optimized LaZnTc2Br structure.

Results
* E_tot: -21.67 eV per cell
* size of the total moment: 4.6 μB/f.u.
* formation energy (no corrections): 1.3876 eV per atom

CIF file:
```
data_LaZnTc2Br
_symmetry_space_group_name_H-M 'P 1'
_symmetry_Int_Tables_number 1
_cell_length_a 5.0508
_cell_length_b 5.8512
_cell_length_c 5.0508
_cell_angle_alpha 90.00
_cell_angle_beta 90.00
_cell_angle_gamma 90.00
loop_
_symmetry_equiv_pos_as_xyz
'x,y,z'
loop_
_atom_site_label
_atom_site_type_symbol
_atom_site_fract_x
_atom_site_fract_y
_atom_site_fract_z
Zn1 Zn 0.5000 0.5000 0.5000
Tc1 Tc 0.0000 0.0000 0.5000
Tc2 Tc 0.5000 0.0000 0.0000
Br1 Br 0.0000 0.5000 0.0000
La1 La 0.0000 0.0000 0.0000
```

=====

[4]
The following is a DFT calculation (PBE-GGA) of a geometry-optimized La6ZnTc2Br3 structure.

Results
* E_tot: -65.13 eV per cell
* size of the total moment: 0.0 μB/f.u.
* formation energy (no corrections): -0.7120 eV per atom

CIF file:
```
data_La6ZnTc2Br3
_symmetry_space_group_name_H-M 'P 1'
_symmetry_Int_Tables_number 1
_cell_length_a 4.1667
_cell_length_b 9.5062
_cell_length_c 10.2286
_cell_angle_alpha 109.94
_cell_angle_beta 101.75
_cell_angle_gamma 90.00
loop_
_symmetry_equiv_pos_as_xyz
'x,y,z'
loop_
_atom_site_label
_atom_site_type_symbol
_atom_site_fract_x
_atom_site_fract_y
_atom_site_fract_z
La1 La 0.3395 0.8811 0.6791
La2 La 0.6791 0.5547 0.3582
La3 La 0.6605 0.1189 0.3209
La4 La 0.0221 0.2505 0.0442
La5 La 0.9779 0.7495 0.9558
La6 La 0.3209 0.4453 0.6418
Zn1 Zn 0.5000 0.0000 0.0000
Tc1 Tc 0.8478 0.6744 0.6956
Tc2 Tc 0.1522 0.3256 0.3044
Br1 Br 0.5000 0.5000 0.0000
Br2 Br 0.8294 0.1674 0.6588
Br3 Br 0.1706 0.8326 0.3412
```

=====

Repeat the third record exactly.
The following is a DFT calculation (PBE-GGA) of a geometry-optimized LaZnTc2Br structure.

Results
* E_tot: -21.67 eV per cell
* size of the total moment: 4.6 μB/f.u.
* formation energy (no corrections): 1.3876 eV per atom

CIF file:
```
data_LaZnTc2Br
_symmetry_space_group_name_H-M 'P 1'
_symmetry_Int_Tables_number 1
_cell_length_a 5.0508
_cell_length_b 5.8512
_cell_length_c 5.0508
_cell_angle_alpha 90.00
_cell_angle_beta 90.00
_cell_angle_gamma 90.00
loop_
_symmetry_equiv_pos_as_xyz
'x,y,z'
loop_
_atom_site_label
_atom_site_type_symbol
_atom_site_fract_x
_atom_site_fract_y
_atom_site_fract_z
Zn1 Zn 0.5000 0.5000 0.5000
Tc1 Tc 0.0000 0.0000 0.5000
Tc2 Tc 0.5000 0.0000 0.0000
Br1 Br 0.0000 0.5000 0.0000
La1 La 0.0000 0.0000 0.0000
```